Entry 1:
This record from Alexandria via LeMat-Bulk describes a relaxed structure of GdUSn2. The functional is PBE-GGA.

Lattice parameters (Å, degrees): 3.161 5.753 5.753 90.00 90.00 90.00
Fractional positions:
Sn 0.000 0.500 0.000
Sn 0.000 0.000 0.500
U 0.500 0.500 0.500
Gd 0.500 0.000 0.000

Entry 2:
This record from Alexandria via LeMat-Bulk describes a relaxed structure of GdYSn2. The functional is PBE-GGA.

Lattice parameters (Å, degrees): 4.458 4.903 4.903 90.00 90.00 90.00
Fractional positions:
Sn 0.000 0.000 0.500
Sn 0.000 0.500 0.000
Y 0.500 0.000 0.000
Gd 0.500 0.500 0.500

Entry 3:
This record from Alexandria via LeMat-Bulk describes a relaxed structure of Gd2YSn. The functional is PBE-GGA.

Lattice parameters (Å, degrees): 3.531 3.531 12.223 81.70 81.70 60.00
Fractional positions:
Gd 0.913 0.913 0.261
Gd 0.087 0.087 0.739
Y 0.500 0.500 0.500
Sn 0.000 0.000 0.000

Entry 4:
This record from Alexandria via LeMat-Bulk describes a relaxed structure of Gd2YSn. The functional is PBE-GGA.

Lattice parameters (Å, degrees): 4.208 4.208 6.692 90.00 90.00 90.00
Fractional positions:
Gd 0.000 0.000 0.269
Gd 0.000 0.000 0.731
Y 0.500 0.500 0.000
Sn 0.500 0.500 0.500

Entry 5:
This record from Alexandria via LeMat-Bulk describes a relaxed structure of Gd2YSn. The functional is PBE-GGA.

Lattice parameters (Å, degrees): 4.916 4.823 4.823 90.00 90.00 90.00
Fractional positions:
Y 0.500 0.000 0.000
Gd 0.000 0.500 0.000
Gd 0.000 0.000 0.500
Sn 0.500 0.500 0.500

Entry 6:
This record from Alexandria via LeMat-Bulk describes a relaxed structure of GdYSn2. The functional is PBE-GGA.

Lattice parameters (Å, degrees): 3.472 3.472 8.904 90.00 90.00 90.00
Fractional positions:
Sn 0.000 0.000 0.747
Sn 0.000 0.000 0.253
Gd 0.500 0.500 0.000
Y 0.500 0.500 0.500

Entry 7:
This record from Alexandria via LeMat-Bulk describes a relaxed structure of GdYSn2. The functional is PBE-GGA.

Lattice parameters (Å, degrees): 3.916 3.916 9.144 77.64 77.64 60.00
Fractional positions:
Sn 0.751 0.751 0.748
Sn 0.249 0.249 0.252
Y 0.500 0.500 0.500
Gd 0.000 0.000 0.000

Entry 8:
This record from Alexandria via LeMat-Bulk describes a relaxed structure of GdYZnSn. The functional is PBE-GGA.

Lattice parameters (Å, degrees): 5.216 5.216 5.216 60.00 60.00 60.00
Fractional positions:
Zn 0.000 0.000 0.000
Y 0.750 0.750 0.750
Gd 0.250 0.250 0.250
Sn 0.500 0.500 0.500

Entry 9:
This record from Alexandria via LeMat-Bulk describes a relaxed structure of GdZnSn2. The functional is PBE-GGA.

Lattice parameters (Å, degrees): 4.037 4.037 9.304 77.47 77.47 60.00
Fractional positions:
Zn 0.500 0.500 0.500
Gd 0.000 0.000 0.000
Sn 0.884 0.884 0.349
Sn 0.116 0.116 0.651

Entry 10:
This record from Alexandria via LeMat-Bulk describes a relaxed structure of GdZnSn2. The functional is PBE-GGA.

Lattice parameters (Å, degrees): 4.442 4.629 4.629 90.00 90.00 90.00
Fractional positions:
Gd 0.500 0.500 0.500
Zn 0.500 0.000 0.000
Sn 0.000 0.500 0.000
Sn 0.000 0.000 0.500

Entry 11:
This record from Alexandria via LeMat-Bulk describes a relaxed structure of GdZnSn2. The functional is PBE-GGA.

Lattice parameters (Å, degrees): 3.764 3.764 6.852 90.00 90.00 90.00
Fractional positions:
Sn 0.000 0.000 0.215
Sn 0.000 0.000 0.785
Zn 0.500 0.500 0.000
Gd 0.500 0.500 0.500

Entry 12:
This record from Alexandria via LeMat-Bulk describes a relaxed structure of GdZrZnSn. The functional is PBE-GGA.

Lattice parameters (Å, degrees): 5.065 5.065 5.065 60.00 60.00 60.00
Fractional positions:
Gd 0.500 0.500 0.500
Zn 0.750 0.750 0.750
Sn 0.250 0.250 0.250
Zr 0.000 0.000 0.000

E, record by record: -8.65; -7.80; -9.60; -10.03; -10.10; -7.81; -7.69; -6.98; -5.55; -6.28; -6.15; -7.30 eV/atom